The following is a DFT calculation (PBE-GGA) of a relaxed structure of Sr3Co3N5.

Calculated values
V	14.06	Å³ per atom
total energy	-6.4883	eV per atom
DOS(E_F)	14.11	states/eV per cell

Unit cell a=5.612 b=7.499 c=8.421 alpha=110.56 beta=103.89 gamma=99.72
Space group P-1 (No. 2)
Inequivalent atoms, fractional coordinates:
Sr: 0.168 0.355 0.386 (multiplicity 2)
Sr: 0.200 0.186 0.729 (multiplicity 2)
Sr: 0.271 0.927 0.097 (multiplicity 2)
Co: 0.175 0.477 0.088 (multiplicity 2)
Co: 0.407 0.825 0.487 (multiplicity 2)
Co: 0.417 0.623 0.803 (multiplicity 2)
N: 0.164 0.548 0.896 (multiplicity 2)
N: 0.233 0.228 0.054 (multiplicity 2)
N: 0.257 0.006 0.412 (multiplicity 2)
N: 0.320 0.751 0.655 (multiplicity 2)
N: 0.433 0.598 0.309 (multiplicity 2)


The following is a DFT calculation (PBE-GGA) of a relaxed structure of SrCoN2.

Calculated values
V	13.42	Å³ per atom
relative energy among the computed polymorphs	97	meV/atom
total energy	-6.5674	eV per atom
DOS(E_F)	11.99	states/eV per cell

Unit cell a=5.703 b=5.703 c=6.602 alpha=90.00 beta=90.00 gamma=90.00
Space group I-42d (No. 122)
Inequivalent atoms, fractional coordinates:
Sr: 0.000 0.000 0.000 (multiplicity 4)
Co: 0.000 0.000 0.500 (multiplicity 4)
N: 0.134 0.250 0.625 (multiplicity 8)


The following is a DFT calculation (PBE-GGA) of a relaxed structure of Sr2Co2N3.

Calculated values
V	18.14	Å³ per atom
total energy	-6.3860	eV per atom
DOS(E_F)	10.96	states/eV per cell

Unit cell a=5.6929 b=5.6929 c=13.5741 alpha=90.00 beta=90.00 gamma=120.00
Space group R-3m (No. 166, hexagonal axes)
Inequivalent atoms, fractional coordinates:
Sr: 0.0000 0.0000 0.0000 (multiplicity 3)
Sr: 0.0000 0.0000 0.5000 (multiplicity 3)
Co: 0.0000 0.0000 0.2080 (multiplicity 6)
N: 0.0000 0.5000 0.5000 (multiplicity 9)